LiLaCrP2 (PBE, optimized geometry); magnetization = 4.3 Bohr magnetons per cell; E_form = 992 meV/atom; uncorrected energy = -0.32820 Ry per atom
1.0
5.404 0.000 0.000
0.000 5.412 0.000
0.000 0.000 5.404
La P Cr Li
1 2 1 1
Direct
0.000 0.000 0.000
0.000 0.000 0.500
0.500 0.000 0.000
0.500 0.500 0.500
0.000 0.500 0.000